Compound: HoPu3Rh4
Source: the Alexandria database
Functional: GGA-PBE
Structure: optimized geometry

Lattice parameters (Å, degrees): 4.8281 4.8281 23.8096 90.00 90.00 120.00
Space group R-3m (No. 166, hexagonal axes)
Inequivalent atoms, fractional coordinates:
1 Ho 0.0000 0.0000 0.0000 [3 per cell]
2 Pu 0.0000 0.0000 0.2492 [6 per cell]
3 Pu 0.0000 0.0000 0.5000 [3 per cell]
4 Rh 0.0000 0.0000 0.1242 [6 per cell]
5 Rh 0.0000 0.0000 0.3740 [6 per cell]

Calculated values
For the energy of formation, the calculation gives -506.6 meV/atom.

***

Compound: Ho5PuRh6
Source: the Alexandria database
Functional: GGA-PBE
Structure: optimized geometry

Lattice parameters (Å, degrees): 4.783 14.387 6.947 90.00 90.00 90.00
Space group Cmmm (No. 65)
Inequivalent atoms, fractional coordinates:
1 Ho 0.000 0.000 0.000 [2 per cell]
2 Ho 0.000 0.333 0.000 [4 per cell]
3 Ho 0.000 0.333 0.500 [4 per cell]
4 Pu 0.000 0.000 0.500 [2 per cell]
5 Rh 0.000 0.166 0.249 [8 per cell]
6 Rh 0.000 0.500 0.250 [4 per cell]

Calculated values
For the energy of formation, the calculation gives -808.9 meV/atom.

***

Compound: HoPuRh2
Source: the Alexandria database
Functional: GGA-PBE
Structure: optimized geometry

Lattice parameters (Å, degrees): 4.811 4.811 3.456 90.00 90.00 90.00
Space group P4/mmm (No. 123)
Inequivalent atoms, fractional coordinates:
1 Ho 0.000 0.000 0.000 [1 per cell]
2 Pu 0.500 0.500 0.000 [1 per cell]
3 Rh 0.000 0.500 0.500 [2 per cell]

Calculated values
For the energy of formation, the calculation gives -641.7 meV/atom.

***

Compound: HoPuRh
Source: the Alexandria database
Functional: GGA-PBE
Structure: optimized geometry

Lattice parameters (Å, degrees): 6.663 6.999 7.094 90.00 112.77 90.00
Space group P2_1/c (No. 14)
Inequivalent atoms, fractional coordinates:
1 Ho 0.206 0.180 0.072 [4 per cell]
2 Pu 0.307 0.668 0.974 [4 per cell]
3 Rh 0.071 0.550 0.220 [4 per cell]

Calculated values
For the energy of formation, the calculation gives -358.5 meV/atom. The energy above the lowest structure with this stoichiometry comes out at 0.323 eV/f.u.

***

Compound: HoPuRh4
Source: the Alexandria database
Functional: GGA-PBE
Structure: optimized geometry

Lattice parameters (Å, degrees): 7.540 7.540 7.540 90.00 90.00 90.00
Space group F-43m (No. 216)
Inequivalent atoms, fractional coordinates:
1 Ho 0.000 0.000 0.000 [4 per cell]
2 Pu 0.250 0.250 0.250 [4 per cell]
3 Rh 0.125 0.125 0.625 [16 per cell]

Calculated values
For the energy of formation, the calculation gives -601.3 meV/atom.

***

Compound: Ho2Pu2Rh15
Source: the Alexandria database
Functional: GGA-PBE
Structure: optimized geometry

Lattice parameters (Å, degrees): 9.1143 9.1143 13.4526 90.00 90.00 120.00
Space group R-3m (No. 166, hexagonal axes)
Inequivalent atoms, fractional coordinates:
1 Ho 0.0000 0.0000 0.1100 [6 per cell]
2 Pu 0.0000 0.0000 0.3606 [6 per cell]
3 Rh 0.0000 0.3105 0.0000 [18 per cell]
4 Rh 0.0000 0.5000 0.5000 [9 per cell]
5 Rh 0.0102 0.5051 0.1546 [18 per cell]

Calculated values
For the energy of formation, the calculation gives -286.2 meV/atom.